(1)
{
  "formula": "LuTeAsO",
  "functional": "PBE",
  "state": "optimized geometry",
  "energy_ev_per_atom": -4.759,
  "volume_a3_per_atom": 21.20,
  "mass_density_g_cm3": 7.7,
  "lattice_angstrom": [[4.8321, 0.0000, 0.0000], [0.0000, 4.8321, 0.0000], [0.0000, 0.0000, 7.2633]],
  "species": ["Lu", "Lu", "Te", "Te", "As", "As", "O", "O"],
  "fractional_positions": [[0.2500, 0.7500, 0.0000], [0.7500, 0.2500, 0.0000], [0.2500, 0.2500, 0.4446], [0.7500, 0.7500, 0.5554], [0.2500, 0.2500, 0.8307], [0.7500, 0.7500, 0.1693], [0.2500, 0.7500, 0.5000], [0.7500, 0.2500, 0.5000]]
}


(2)
{
  "formula": "LiNbTlIr",
  "functional": "PBE",
  "state": "optimized geometry",
  "energy_ev_per_atom": -5.807,
  "volume_a3_per_atom": 16.98,
  "mass_density_g_cm3": 12.1,
  "lattice_angstrom": [[0.0000, 3.2382, 3.2382], [3.2382, 0.0000, 3.2382], [3.2382, 3.2382, 0.0000]],
  "species": ["Li", "Nb", "Tl", "Ir"],
  "fractional_positions": [[0.0000, 0.0000, 0.0000], [0.5000, 0.5000, 0.5000], [0.7500, 0.7500, 0.7500], [0.2500, 0.2500, 0.2500]]
}


(3)
{
  "formula": "PrTlHgTe3",
  "functional": "PBE",
  "state": "optimized geometry",
  "energy_ev_per_atom": -3.555,
  "volume_a3_per_atom": 34.65,
  "mass_density_g_cm3": 7.4,
  "lattice_angstrom": [[11.8976, 0.0000, 0.0000], [0.0000, 4.5381, 0.0000], [0.0000, 0.0000, 15.4031]],
  "species": ["Pr", "Pr", "Pr", "Pr", "Tl", "Tl", "Tl", "Tl", "Hg", "Hg", "Hg", "Hg", "Te", "Te", "Te", "Te", "Te", "Te", "Te", "Te", "Te", "Te", "Te", "Te"],
  "fractional_positions": [[0.0100, 0.2500, 0.2476], [0.4900, 0.7500, 0.7476], [0.5100, 0.2500, 0.2524], [0.9900, 0.7500, 0.7524], [0.2357, 0.7500, 0.5112], [0.2643, 0.2500, 0.0112], [0.7357, 0.7500, 0.9888], [0.7643, 0.2500, 0.4888], [0.2432, 0.2500, 0.7161], [0.2568, 0.7500, 0.2161], [0.7432, 0.2500, 0.7839], [0.7568, 0.7500, 0.2839], [0.0463, 0.2500, 0.6105], [0.0656, 0.7500, 0.1057], [0.2412, 0.7500, 0.8358], [0.2588, 0.2500, 0.3358], [0.4344, 0.2500, 0.6057], [0.4537, 0.7500, 0.1105], [0.5463, 0.2500, 0.8895], [0.5656, 0.7500, 0.3943], [0.7412, 0.7500, 0.6642], [0.7588, 0.2500, 0.1642], [0.9344, 0.2500, 0.8943], [0.9537, 0.7500, 0.3895]]
}


> Which formula does entry 1 have?

LuTeAsO


> Which formula does entry 1 have?

LuTeAsO